Entry from Alexandria: a relaxed structure of W4F (PBE+U).

Unit cell a=4.460 b=4.460 c=4.460 alpha=90.00 beta=90.00 gamma=90.00
Atoms (fractional coordinates):
W  0.000  0.000  0.000
W  0.000  0.500  0.500
W  0.500  0.000  0.500
W  0.500  0.500  0.000
F  0.500  0.500  0.500

VASP energy   -23.78 eV per cell
Volume   17.74 Å³ per atom
Theoretical density   14.1 g cm⁻³